# 1
Ho5Tm2Sc (PBE, relaxed); E_form = 0.0081 eV/atom; DOS at the Fermi energy = 1.701 states/eV/atom; VASP energy = -38.099 eV per cell; total magnetization = 0.001 Bohr magnetons per cell
1.0
6.800 -0.505 -2.018
-3.907 5.586 -2.018
0.106 0.189 6.567
Ho Tm Sc
5 2 1
direct
0.817 0.235 0.000 Ho
0.321 0.235 0.000 Ho
0.237 0.319 0.500 Ho
0.737 0.819 0.500 Ho
0.321 0.739 0.000 Ho
0.231 0.817 0.492 Tm
0.739 0.325 0.508 Tm
0.820 0.736 0.000 Sc



# 2
Dy5Ho4In (PBE, relaxed); E_form = 0.1300 eV/atom; DOS at the Fermi energy = 1.381 states/eV/atom; VASP energy = -42.760 eV per cell; total magnetization = 0.000 Bohr magnetons per cell
1.0
5.778 0.000 0.000
2.889 7.455 0.000
2.889 0.000 7.455
Dy Ho In
5 4 1
direct
0.141 0.000 0.628 Dy
0.769 0.372 0.000 Dy
0.669 0.000 0.000 Dy
0.141 0.628 0.000 Dy
0.769 0.000 0.372 Dy
0.775 0.684 0.684 Ho
0.459 0.684 0.316 Ho
0.459 0.316 0.684 Ho
0.143 0.316 0.316 Ho
0.187 0.000 0.000 In



# 3
LiReAu2 (PBE, relaxed); E_form = 0.2218 eV/atom; DOS at the Fermi energy = 0.607 states/eV/atom; VASP energy = -20.030 eV per cell; total magnetization = 0.827 Bohr magnetons per cell
1.0
4.084 0.000 0.000
0.000 2.699 0.045
0.000 2.581 5.906
Re Au Li
1 2 1
direct
0.500 0.750 0.750 Re
0.000 0.003 0.999 Au
0.000 0.497 0.501 Au
0.500 0.250 0.250 Li



# 4
Sr2Cr (PBE, relaxed); E_form = 0.6771 eV/atom; DOS at the Fermi energy = 0.993 states/eV/atom; VASP energy = -10.956 eV per cell; total magnetization = 4.509 Bohr magnetons per cell
1.0
-1.047 0.564 4.012
-2.982 -0.557 -2.883
0.333 -8.206 1.240
Sr Cr
2 1
direct
0.667 0.333 0.721 Sr
0.333 0.667 0.279 Sr
0.000 0.000 0.000 Cr



# 5
HfTi2V (PBE, relaxed); E_form = 0.1258 eV/atom; DOS at the Fermi energy = 1.404 states/eV/atom; VASP energy = -68.718 eV per cell; total magnetization = 0.000 Bohr magnetons per cell
1.0
3.308 0.001 0.000
-1.652 5.152 0.000
0.000 0.000 8.356
V Hf Ti
2 2 4
direct
0.754 0.506 0.750 V
0.246 0.494 0.250 V
0.033 0.066 0.750 Hf
0.967 0.934 0.250 Hf
0.641 0.283 0.041 Ti
0.641 0.283 0.459 Ti
0.359 0.717 0.959 Ti
0.359 0.717 0.541 Ti



# 6
Ce3As4Pt2 (PBE, relaxed); E_form = -1.0665 eV/atom; DOS at the Fermi energy = 1.043 states/eV/atom; VASP energy = -58.080 eV per cell; total magnetization = 0.686 Bohr magnetons per cell
1.0
-3.380 -2.182 0.765
3.639 0.267 5.877
-4.888 6.691 -2.510
Pt As Ce
2 4 3
direct
0.330 0.661 0.632 Pt
0.670 0.339 0.368 Pt
0.321 0.641 0.915 As
0.930 0.859 0.606 As
0.679 0.359 0.085 As
0.070 0.141 0.394 As
0.360 0.720 0.283 Ce
0.000 0.000 0.000 Ce
0.640 0.280 0.717 Ce